[1]
Computed, not measured: a PBEsol-optimized structure of Mg5Bi at the SCAN level of DFT.

Computed properties:
As for the density of states at the Fermi level: 0.590 states/eV/atom. Its mass density is 3.8 g cm⁻³. As for the energy relative to the elements: -0.05 eV per atom. The crystal system is hexagonal.

Lattice parameters (Å, degrees): 5.4274 5.5211 5.5211 120.00 90.00 90.00
Element x y z (fractional)
Mg 0.0000 0.0000 0.3368
Mg 0.5000 0.3333 0.6667
Mg 0.0000 0.6632 0.6632
Mg 0.5000 0.6667 0.3333
Mg 0.0000 0.3368 0.0000
Bi 0.5000 0.0000 0.0000

---

[2]
Computed, not measured: a PBEsol-optimized structure of Ni7Pt at the SCAN level of DFT.

Computed properties:
As for the density of states at the Fermi level: 0.982 states/eV/atom. Its mass density is 11.4 g cm⁻³. As for the energy relative to the elements: -0.06 eV per atom. The crystal system is cubic.

Lattice parameters (Å, degrees): 5.0010 5.0010 5.0010 60.00 60.00 60.00
Each line ends with the local moment (μB).
Element x y z (fractional)
Ni 0.0000 0.5000 0.5000  0.81
Ni 0.0000 0.5000 0.0000  0.81
Ni 0.0000 0.0000 0.5000  0.81
Ni 0.5000 0.5000 0.0000  0.81
Ni 0.5000 0.0000 0.5000  0.81
Ni 0.5000 0.0000 0.0000  0.81
Ni 0.5000 0.5000 0.5000  0.93
Pt 0.0000 0.0000 0.0000  0.24

---

[3]
Computed, not measured: a PBEsol-optimized structure of LiZrPb2Au at the SCAN level of DFT.

Computed properties:
As for the density of states at the Fermi level: 0.571 states/eV/atom. Its mass density is 7.4 g cm⁻³. As for the energy relative to the elements: 0.80 eV per atom. The crystal system is tetragonal.

Lattice parameters (Å, degrees): 5.2120 5.5269 5.5269 90.00 90.00 90.00
Each line ends with the local moment (μB).
Element x y z (fractional)
Pb 0.0000 0.0000 0.5000  0.01
Pb 0.0000 0.5000 0.0000  0.01
Au 0.5000 0.5000 0.5000  0.01
Zr 0.0000 0.0000 0.0000  0.63
Li 0.5000 0.0000 0.0000  0.07

---

[4]
Computed, not measured: a PBEsol-optimized structure of BaTm2Te4 at the SCAN level of DFT.

Computed properties:
Its mass density is 7.0 g cm⁻³. The crystal system is orthorhombic. The value obtained for the uncorrected formation energy is -1.681 eV per atom.

Lattice parameters (Å, degrees): 4.3732 13.4935 15.9133 90.00 90.00 90.00
Element x y z (fractional)
Ba 0.2500 0.2380 0.6708
Ba 0.7500 0.7620 0.3292
Ba 0.2500 0.7380 0.8292
Ba 0.7500 0.2620 0.1708
Tm 0.7500 0.4196 0.9040
Tm 0.2500 0.5804 0.0960
Tm 0.7500 0.9196 0.5960
Tm 0.2500 0.0804 0.4040
Tm 0.2500 0.5582 0.6092
Tm 0.7500 0.4418 0.3908
Tm 0.2500 0.0582 0.8908
Tm 0.7500 0.9418 0.1092
Te 0.7500 0.0275 0.2839
Te 0.2500 0.9725 0.7161
Te 0.7500 0.5275 0.2161
Te 0.2500 0.4725 0.7839
Te 0.7500 0.1277 0.5283
Te 0.2500 0.8723 0.4717
Te 0.7500 0.6277 0.9717
Te 0.2500 0.3723 0.0283
Te 0.7500 0.2047 0.8426
Te 0.2500 0.7953 0.1574
Te 0.7500 0.7047 0.6574
Te 0.2500 0.2953 0.3426
Te 0.2500 0.0911 0.0762
Te 0.7500 0.9089 0.9238
Te 0.2500 0.5911 0.4238
Te 0.7500 0.4089 0.5762

---

[5]
Computed, not measured: a PBEsol-optimized structure of EuZn2Sb2 at the SCAN level of DFT.

Computed properties:
As for the density of states at the Fermi level: 1.778 states/eV/atom. Its mass density is 6.9 g cm⁻³. The crystal system is trigonal. The value obtained for the uncorrected formation energy is -0.528 eV per atom.

Lattice parameters (Å, degrees): 4.4767 4.4767 7.2614 90.00 90.00 120.00
Each line ends with the local moment (μB).
Element x y z (fractional)
Eu 0.0000 0.0000 0.0000  6.89
Sb 0.3333 0.6667 0.2621  -0.05
Sb 0.6667 0.3333 0.7379  -0.05
Zn 0.6667 0.3333 0.3577  0.00
Zn 0.3333 0.6667 0.6423  0.00

---

[6]
Computed, not measured: a PBEsol-optimized structure of RbGa2P2 at the SCAN level of DFT.

Computed properties:
As for the density of states at the Fermi level: 0.132 states/eV/atom. Its mass density is 4.0 g cm⁻³. As for the energy relative to the elements: -0.38 eV per atom. The crystal system is tetragonal.

Lattice parameters (Å, degrees): 4.2260 4.2260 7.3610 106.68 106.68 90.00
Element x y z (fractional)
P 0.3458 0.3458 0.6915
P 0.6542 0.6542 0.3085
Rb 0.0000 0.0000 0.0000
Ga 0.2500 0.7500 0.5000
Ga 0.7500 0.2500 0.5000

---

[7]
Computed, not measured: a PBEsol-optimized structure of FeHgPb2 at the SCAN level of DFT.

Computed properties:
As for the density of states at the Fermi level: 0.559 states/eV/atom. Its mass density is 12.1 g cm⁻³. As for the energy relative to the elements: 0.33 eV per atom. The crystal system is monoclinic.

Lattice parameters (Å, degrees): 3.1207 4.4765 7.1401 108.15 102.62 90.00
Each line ends with the local moment (μB).
Element x y z (fractional)
Fe 0.5030 0.5030 0.0060  2.83
Hg 0.1795 0.6795 0.3590  0.00
Pb 0.0045 0.0045 0.0090  -0.03
Pb 0.8130 0.3130 0.6260  -0.07

---

[8]
Computed, not measured: a PBEsol-optimized structure of Ba2SbAs at the SCAN level of DFT.

Computed properties:
As for the density of states at the Fermi level: 1.531 states/eV/atom. Its mass density is 5.0 g cm⁻³. The crystal system is tetragonal. The value obtained for the uncorrected formation energy is -0.779 eV per atom.

Lattice parameters (Å, degrees): 4.8090 4.8090 6.8032 90.00 90.00 90.00
Element x y z (fractional)
Sb 0.0000 0.0000 0.0000
As 0.5000 0.5000 0.5000
Ba 0.0000 0.0000 0.5000
Ba 0.5000 0.5000 0.0000

---

[9]
Computed, not measured: a PBEsol-optimized structure of LiCl2 at the SCAN level of DFT.

Computed properties:
As for the density of states at the Fermi level: 0.519 states/eV/atom. Its mass density is 2.0 g cm⁻³. The crystal system is hexagonal. The value obtained for the uncorrected formation energy is -0.622 eV per atom.

Lattice parameters (Å, degrees): 3.4876 4.6745 4.6745 120.00 90.00 90.00
Element x y z (fractional)
Cl 0.5002 0.6667 0.3333
Cl 0.4998 0.3333 0.6667
Li 0.0000 0.0000 0.0000

---

[10]
Computed, not measured: a PBEsol-optimized structure of Hf2BeIn2 at the SCAN level of DFT.

Computed properties:
As for the density of states at the Fermi level: 1.186 states/eV/atom. Its mass density is 9.1 g cm⁻³. As for the energy relative to the elements: 0.65 eV per atom. The crystal system is tetragonal.

Lattice parameters (Å, degrees): 3.8415 3.8415 7.8538 104.16 104.16 90.00
Element x y z (fractional)
Be 0.0000 0.0000 0.0000
Hf 0.4095 0.4095 0.8190
Hf 0.5905 0.5905 0.1810
In 0.2500 0.7500 0.5000
In 0.7500 0.2500 0.5000

---

[11]
Computed, not measured: a PBEsol-optimized structure of NaHf2AgCl at the SCAN level of DFT.

Computed properties:
As for the density of states at the Fermi level: 1.020 states/eV/atom. Its mass density is 5.9 g cm⁻³. The crystal system is tetragonal. The value obtained for the uncorrected formation energy is 1.043 eV per atom.

Lattice parameters (Å, degrees): 5.0845 5.0845 5.7039 90.00 90.00 90.00
Element x y z (fractional)
Na 0.5000 0.5000 0.5000
Hf 0.0000 0.5000 0.0000
Hf 0.5000 0.0000 0.0000
Ag 0.0000 0.0000 0.0000
Cl 0.0000 0.0000 0.5000

---

[12]
Computed, not measured: a PBEsol-optimized structure of BaTaSe3 at the SCAN level of DFT.

Computed properties:
As for the density of states at the Fermi level: 0.218 states/eV/atom. Its mass density is 7.3 g cm⁻³. The crystal system is hexagonal. The value obtained for the uncorrected formation energy is -1.434 eV per atom.

Lattice parameters (Å, degrees): 5.8181 7.1041 7.1041 120.00 90.00 90.00
Element x y z (fractional)
Ba 0.7500 0.6667 0.3333
Ba 0.2500 0.3333 0.6667
Se 0.2500 0.3506 0.1753
Se 0.7500 0.1753 0.3506
Se 0.2500 0.8247 0.6494
Se 0.7500 0.1753 0.8247
Se 0.7500 0.6494 0.8247
Se 0.2500 0.8247 0.1753
Ta 0.0000 0.0000 0.0000
Ta 0.5000 0.0000 0.0000

---

- What is the formula in the tenth record?
  Hf2BeIn2

---

- Among the records above, which one has the lowest mass density?
  LiCl2

---

Repeat the ninth record exactly.
Computed, not measured: a PBEsol-optimized structure of LiCl2 at the SCAN level of DFT.

Computed properties:
As for the density of states at the Fermi level: 0.519 states/eV/atom. Its mass density is 2.0 g cm⁻³. The crystal system is hexagonal. The value obtained for the uncorrected formation energy is -0.622 eV per atom.

Lattice parameters (Å, degrees): 3.4876 4.6745 4.6745 120.00 90.00 90.00
Element x y z (fractional)
Cl 0.5002 0.6667 0.3333
Cl 0.4998 0.3333 0.6667
Li 0.0000 0.0000 0.0000